[1]
LiPmTe, optimized geometry, DFT PBE; SG = Pnma (62); crystal system = orthorhombic; distance to the lowest polymorph of the same formula = 0.042 eV/atom
1.0
7.5954 0.0000 0.0000
0.0000 4.2563 0.0000
0.0000 0.0000 9.1731
Li Pm Te
4 4 4
direct
0.1435 0.2500 0.0641
0.3565 0.7500 0.5641
0.6435 0.2500 0.4359
0.8565 0.7500 0.9359
0.0343 0.2500 0.6641
0.4657 0.7500 0.1641
0.5343 0.2500 0.8359
0.9657 0.7500 0.3359
0.2251 0.7500 0.8744
0.2749 0.2500 0.3744
0.7251 0.7500 0.6256
0.7749 0.2500 0.1256

---

[2]
LiPm2Te2, optimized geometry, DFT PBE; SG = Cmc2_1 (36); crystal system = orthorhombic
1.0
2.2538 -7.6288 0.0000
2.2538 7.6288 0.0000
0.0000 0.0000 8.2215
Li Pm Te
2 4 4
direct
0.0923 0.9077 0.5000
0.9077 0.0923 0.0000
0.2799 0.7201 0.7250
0.4584 0.5416 0.3857
0.5416 0.4584 0.8857
0.7201 0.2799 0.2250
0.0715 0.9285 0.1638
0.3420 0.6580 0.0820
0.6580 0.3420 0.5820
0.9285 0.0715 0.6638

---

[3]
LiPm5Te6, optimized geometry, DFT PBE; SG = C2/m (12); crystal system = monoclinic
1.0
3.8358 -6.6490 0.0000
3.8358 6.6490 0.0000
-2.5742 0.0000 7.2534
Li Pm Te
1 5 6
direct
0.0000 0.0000 0.0000
0.1709 0.8291 0.5000
0.3356 0.6644 0.0000
0.5000 0.5000 0.5000
0.6644 0.3356 0.0000
0.8291 0.1709 0.5000
0.0792 0.3996 0.2411
0.2375 0.2375 0.7558
0.3996 0.0792 0.2411
0.6004 0.9208 0.7589
0.7625 0.7625 0.2442
0.9208 0.6004 0.7589

---

[4]
Li2Pm5Te6, optimized geometry, DFT PBE; SG = Pbam (55); crystal system = orthorhombic
1.0
11.5979 0.0000 0.0000
0.0000 15.1306 0.0000
0.0000 0.0000 4.2955
Li Pm Te
4 10 12
direct
0.1680 0.2263 0.0000
0.3320 0.7263 0.0000
0.6680 0.2737 0.0000
0.8320 0.7737 0.0000
0.0000 0.5000 0.5000
0.0868 0.7385 0.5000
0.1581 0.0060 0.5000
0.3419 0.5060 0.5000
0.4132 0.2385 0.5000
0.5000 0.0000 0.5000
0.5868 0.7615 0.5000
0.6581 0.4940 0.5000
0.8419 0.9940 0.5000
0.9132 0.2615 0.5000
0.0177 0.8846 0.0000
0.1633 0.5929 0.0000
0.1704 0.3383 0.5000
0.3296 0.8383 0.5000
0.3367 0.0929 0.0000
0.4823 0.3846 0.0000
0.5177 0.6154 0.0000
0.6633 0.9071 0.0000
0.6704 0.1617 0.5000
0.8296 0.6617 0.5000
0.8367 0.4071 0.0000
0.9823 0.1154 0.0000

---

[5]
Li3Pm5Te8, optimized geometry, DFT PBE; SG = R-3m (166); crystal system = trigonal
1.0
4.4161 2.5497 7.2000
-4.4161 2.5497 7.2000
0.0000 -5.0993 7.2000
Li Pm Te
3 5 8
direct
0.0000 0.5000 0.5000
0.5000 0.0000 0.5000
0.5000 0.5000 0.0000
0.0000 0.0000 0.0000
0.0000 0.0000 0.5000
0.0000 0.5000 0.0000
0.5000 0.0000 0.0000
0.5000 0.5000 0.5000
0.2500 0.2500 0.7394
0.2500 0.7394 0.2500
0.2538 0.2538 0.2538
0.2606 0.7500 0.7500
0.7394 0.2500 0.2500
0.7462 0.7462 0.7462
0.7500 0.2606 0.7500
0.7500 0.7500 0.2606

---

[6]
LiPm2Te3, optimized geometry, DFT PBE; SG = Immm (71); crystal system = orthorhombic
1.0
4.3893 0.0000 0.0000
0.0000 6.2910 0.0000
0.0000 0.0000 13.2344
Li Pm Te
2 4 6
direct
0.0000 0.0000 0.0000
0.5000 0.5000 0.5000
0.0000 0.0000 0.3310
0.0000 0.0000 0.6690
0.5000 0.5000 0.1690
0.5000 0.5000 0.8310
0.0000 0.5000 0.0000
0.0000 0.5000 0.3434
0.0000 0.5000 0.6566
0.5000 0.0000 0.1566
0.5000 0.0000 0.5000
0.5000 0.0000 0.8434

---

[7]
LiPm4Te5, optimized geometry, DFT PBE; SG = I4 (79); crystal system = tetragonal; distance to the lowest polymorph of the same formula = 0.000 eV/atom
1.0
-4.9516 4.9516 3.1405
4.9516 -4.9516 3.1405
4.9516 4.9516 -3.1405
Li Pm Te
1 4 5
direct
0.0000 0.0000 0.0000
0.1696 0.5686 0.7937
0.3758 0.1696 0.6010
0.5686 0.7748 0.3990
0.7748 0.3758 0.2063
0.0683 0.2590 0.3831
0.2590 0.8759 0.1907
0.4765 0.4765 0.0000
0.6852 0.0683 0.8093
0.8759 0.6852 0.6169

---

[8]
LiPmTe, optimized geometry, DFT PBE; SG = P-6m2 (187); crystal system = hexagonal; distance to the lowest polymorph of the same formula = 0.000 eV/atom
1.0
4.4770 0.0000 0.0000
-2.2385 3.8772 0.0000
0.0000 0.0000 4.1220
Li Pm Te
1 1 1
direct
0.0000 0.0000 0.0000
0.6667 0.3333 0.5000
0.3333 0.6667 0.0000

---

Table of energy (eV/atom), in record order: -4.1966, -4.5475, -5.1027, -4.8220, -4.7578, -4.8209, -5.0455, -4.2388